Here is crystalline KSiNi2O4 at its relaxed geometry from Alexandria. Energies are from PBE with a Hubbard U.

Cell: 5.178 5.078 5.285 Å, 59.92 58.06 62.02°
Sites, in units of the cell vectors:
K 0.000 0.000 0.000
Si 0.490 0.490 0.510
Ni 0.251 0.251 0.249
Ni 0.751 0.751 0.749
O 0.167 0.528 0.833
O 0.450 0.806 0.194
O 0.528 0.167 0.472
O 0.806 0.450 0.550

## Properties
Total moment (μB/f.u.): 3.0
Total DFT energy (no corrections) (eV per atom): -5.5208
V (A^3/atom): 12.25
SG: No. 42